No. 1
NdGe2Ir3 | PBE | relaxed

POSCAR file:
```
NdGe2Ir3
1.0
-1.733 -0.324 -3.692
8.199 1.396 -1.704
-1.106 -9.818 1.381
Nd Ge Ir
3 6 9
Cartesian
1.570 -6.501 -0.166
3.790 -2.245 -3.849
0.000 0.000 0.000
2.738 -0.772 -1.217
2.622 -7.973 -2.797
6.561 -1.025 -2.989
-1.201 -7.720 -1.026
4.700 -4.460 -1.815
0.660 -4.285 -2.200
0.264 -3.161 0.154
5.097 -5.585 -4.168
2.751 -3.317 -1.000
2.610 -5.428 -3.015
0.715 -1.836 -2.441
4.645 -6.909 -1.574
-1.419 -5.071 -1.155
4.692 0.403 -2.238
0.668 -9.148 -1.777
```

Formation energy in eV/atom: -0.613
Symmetry: C2/m
Density of states at the Fermi level in states/eV/f.u.: 3.34
Spin magnetization in μB per cell: 0.000


No. 2
Ni2Ge2Ru | PBE | relaxed

POSCAR file:
```
Ni2Ge2Ru
1.0
6.877 0.000 0.000
0.000 6.877 0.000
0.000 0.000 2.728
Ru Ge Ni
2 4 4
Cartesian
0.000 0.000 0.000
3.438 3.438 0.000
1.194 4.632 1.364
4.632 5.683 1.364
5.683 2.245 1.364
2.245 1.194 1.364
2.576 6.014 0.000
6.014 4.301 0.000
4.301 0.863 0.000
0.863 2.576 0.000
```

Formation energy in eV/atom: 0.002
Symmetry: P4/mbm
Density of states at the Fermi level in states/eV/f.u.: 3.22
ΔE to the lowest computed polymorph in meV/atom: 125
Spin magnetization in μB per cell: 1.773


No. 3
KMn2In | PBE | relaxed

POSCAR file:
```
KMn2In
1.0
4.804 0.000 0.000
0.000 2.998 0.014
0.000 1.085 7.129
In K Mn
1 1 2
Cartesian
2.402 1.021 1.786
2.402 3.062 5.357
0.000 0.182 0.688
0.000 1.860 2.884
```

Formation energy in eV/atom: 0.631
Symmetry: P2/m
Density of states at the Fermi level in states/eV/f.u.: 3.29
Spin magnetization in μB per cell: 7.583